## TcNiW (PBE-GGA)

Data for a relaxed structure of TcNiW.

Cell lengths 2.5790, 4.6408, 7.7478 Å; angles 88.36, 80.42, 73.87 degrees
Sites, in units of the cell vectors:
W  0.0822  0.2349  0.6007
W  0.9178  0.7651  0.3993
Ni  0.6041  0.6929  0.0988
Ni  0.3959  0.3071  0.9012
Tc  0.2621  0.2463  0.2296
Tc  0.7379  0.7537  0.7704

polymorph energy (0 for the lowest one) = 290 meV per atom
energy relative to the elements = 0.362 eV per atom
space-group type = C2/m
crystal system = monoclinic